VASP calculation (PBE-GGA) on CePmSm2Bi5 after structural relaxation.

It has space group P4/mmm (No. 123), with a = 5.5494 Å, b = 5.5494 Å, c = 12.0256 Å, α = 90.00°, β = 90.00° and γ = 90.00°. Symmetry generates all atoms from Ce at (0.0000, 0.0000, 0.0000), Pm at (0.0000, 0.0000, 0.5000), Sm at (0.5000, 0.5000, 0.2289), Bi at (0.0000, 0.0000, 0.2523), Bi at (0.0000, 0.5000, 0.0000) and Bi at (0.5000, 0.5000, 0.5000).

The value obtained for the magnetic moment is 0.00 μB/cell. The value obtained for the energy of formation is -3.3 kJ per mole of atoms. As for the total DFT energy (no corrections): -4.426 eV/atom.

VASP calculation (PBE-GGA) on Ce2PmSmBi5 after structural relaxation.

It has space group P4/mmm (No. 123), with a = 5.5319 Å, b = 5.5319 Å, c = 12.0303 Å, α = 90.00°, β = 90.00° and γ = 90.00°. Symmetry generates all atoms from Ce at (0.0000, 0.0000, 0.2186), Pm at (0.5000, 0.5000, 0.5000), Sm at (0.5000, 0.5000, 0.0000), Bi at (0.0000, 0.0000, 0.5000), Bi at (0.0000, 0.5000, 0.0000) and Bi at (0.5000, 0.5000, 0.2524).

The value obtained for the magnetic moment is 2.01 μB/cell. The value obtained for the energy of formation is -6.2 kJ per mole of atoms. As for the total DFT energy (no corrections): -4.591 eV/atom.

VASP calculation (PBE-GGA) on CePm2SmBi5 after structural relaxation.

It has space group P4/mmm (No. 123), with a = 5.5087 Å, b = 5.5087 Å, c = 12.0771 Å, α = 90.00°, β = 90.00° and γ = 90.00°. Symmetry generates all atoms from Ce at (0.0000, 0.0000, 0.0000), Pm at (0.5000, 0.5000, 0.2752), Sm at (0.0000, 0.0000, 0.5000), Bi at (0.0000, 0.0000, 0.2466), Bi at (0.0000, 0.5000, 0.5000) and Bi at (0.5000, 0.5000, 0.0000).

The value obtained for the magnetic moment is 0.76 μB/cell. The value obtained for the energy of formation is -4.2 kJ per mole of atoms. As for the total DFT energy (no corrections): -4.439 eV/atom.

VASP calculation (PBE-GGA) on CePmSmBi after structural relaxation.

It has space group F-43m (No. 216), with a = 7.8515 Å, b = 7.8515 Å, c = 7.8515 Å, α = 90.00°, β = 90.00° and γ = 90.00°. Symmetry generates all atoms from Ce at (0.0000, 0.0000, 0.0000), Pm at (0.2500, 0.2500, 0.2500), Sm at (0.2500, 0.2500, 0.7500) and Bi at (0.0000, 0.0000, 0.5000).

The value obtained for the magnetic moment is 4.85 μB/cell. The value obtained for the energy of formation is -15.0 kJ per mole of atoms. As for the total DFT energy (no corrections): -4.976 eV/atom.

VASP calculation (PBE-GGA) on TbCePm2Bi5 after structural relaxation.

It has space group P4/mmm (No. 123), with a = 5.5620 Å, b = 5.5620 Å, c = 11.9157 Å, α = 90.00°, β = 90.00° and γ = 90.00°. Symmetry generates all atoms from Tb at (0.0000, 0.0000, 0.0000), Ce at (0.0000, 0.0000, 0.5000), Pm at (0.5000, 0.5000, 0.2745), Bi at (0.0000, 0.0000, 0.2456), Bi at (0.0000, 0.5000, 0.5000) and Bi at (0.5000, 0.5000, 0.0000).

The value obtained for the magnetic moment is 0.00 μB/cell. The value obtained for the energy of formation is -3.8 kJ per mole of atoms. As for the total DFT energy (no corrections): -4.425 eV/atom.

VASP calculation (PBE-GGA) on Tb2CePmBi4 after structural relaxation.

It has space group P2/m (No. 10), with a = 7.8599 Å, b = 4.5408 Å, c = 7.8682 Å, α = 90.00°, β = 109.41° and γ = 90.00°. Symmetry generates all atoms from Tb at (0.0000, 0.0000, 0.0000), Tb at (0.0000, 0.5000, 0.5000), Ce at (0.5000, 0.0000, 0.5000), Pm at (0.5000, 0.5000, 0.0000), Bi at (0.2447, 0.0000, 0.7477) and Bi at (0.2445, 0.5000, 0.2483).

The value obtained for the magnetic moment is 0.80 μB/cell. The value obtained for the energy of formation is -84.3 kJ per mole of atoms. As for the total DFT energy (no corrections): -5.307 eV/atom.

VASP calculation (PBE-GGA) on CePmBiTe after structural relaxation.

It has space group F-43m (No. 216), with a = 7.8162 Å, b = 7.8162 Å, c = 7.8162 Å, α = 90.00°, β = 90.00° and γ = 90.00°. Symmetry generates all atoms from Ce at (0.0000, 0.0000, 0.0000), Pm at (0.0000, 0.0000, 0.5000), Bi at (0.2500, 0.2500, 0.2500) and Te at (0.2500, 0.2500, 0.7500).

The calculation puts the raw formation energy at -969 meV per atom. The value obtained for the magnetic moment is 7.63 μB/cell. As for the total DFT energy (no corrections): -5.396 eV/atom.

VASP calculation (PBE-GGA) on Ce2PmThBi4 after structural relaxation.

It has space group P2/m (No. 10), with a = 7.9620 Å, b = 4.5944 Å, c = 7.9700 Å, α = 90.00°, β = 109.38° and γ = 90.00°. Symmetry generates all atoms from Ce at (0.0000, 0.0000, 0.0000), Ce at (0.0000, 0.5000, 0.5000), Pm at (0.5000, 0.0000, 0.5000), Th at (0.5000, 0.5000, 0.0000), Bi at (0.2498, 0.0000, 0.7492) and Bi at (0.2504, 0.5000, 0.2507).

The value obtained for the magnetic moment is 0.02 μB/cell. The value obtained for the energy of formation is -76.0 kJ per mole of atoms. As for the total DFT energy (no corrections): -5.733 eV/atom.